# 1
! CsV3Br12, relaxed, DFT PBE; values from VASP
&SYSTEM
  ibrav = 0, nat = 32, ntyp = 3
/
ATOMIC_SPECIES
Cs 132.91 Cs.upf
V 50.94 V.upf
Br 79.90 Br.upf
ATOMIC_POSITIONS crystal
Cs 0.0000 0.0000 0.0000
Cs 0.5000 0.5000 0.5000
V 0.1395 0.7670 0.3865
V 0.2670 0.6395 0.8865
V 0.3865 0.1395 0.7670
V 0.6395 0.8865 0.2670
V 0.7670 0.3865 0.1395
V 0.8865 0.2670 0.6395
Br 0.0598 0.0717 0.6630
Br 0.0717 0.6630 0.0598
Br 0.1630 0.5717 0.5598
Br 0.1882 0.7337 0.2181
Br 0.2181 0.1882 0.7337
Br 0.2337 0.6882 0.7181
Br 0.2844 0.8405 0.3233
Br 0.3233 0.2844 0.8405
Br 0.3405 0.7844 0.8233
Br 0.4136 0.4329 0.9428
Br 0.4329 0.9428 0.4136
Br 0.4428 0.9329 0.9136
Br 0.5598 0.1630 0.5717
Br 0.5717 0.5598 0.1630
Br 0.6630 0.0598 0.0717
Br 0.6882 0.7181 0.2337
Br 0.7181 0.2337 0.6882
Br 0.7337 0.2181 0.1882
Br 0.7844 0.8233 0.3405
Br 0.8233 0.3405 0.7844
Br 0.8405 0.3233 0.2844
Br 0.9136 0.4428 0.9329
Br 0.9329 0.9136 0.4428
Br 0.9428 0.4136 0.4329
CELL_PARAMETERS angstrom
6.2871 3.6299 12.3108
-6.2871 3.6299 12.3108
0.0000 -7.2598 12.3108
! E ... -3.949 eV/atom
! ΔE_f (raw) ... -931 meV/atom


# 2
! Cs3VBr6, relaxed, DFT PBE; values from VASP
&SYSTEM
  ibrav = 0, nat = 10, ntyp = 3
/
ATOMIC_SPECIES
Cs 132.91 Cs.upf
V 50.94 V.upf
Br 79.90 Br.upf
ATOMIC_POSITIONS crystal
Cs 0.0000 0.0000 0.0000
Cs 0.2500 0.7500 0.5000
Cs 0.7500 0.2500 0.5000
V 0.5000 0.5000 0.0000
Br 0.2022 0.5000 0.7022
Br 0.2859 0.2859 0.0000
Br 0.5000 0.2022 0.7022
Br 0.5000 0.7978 0.2978
Br 0.7141 0.7141 0.0000
Br 0.7978 0.5000 0.2978
CELL_PARAMETERS angstrom
-4.2301 4.2301 6.2787
4.2301 -4.2301 6.2787
4.2301 4.2301 -6.2787
! E ... -3.537 eV/atom
! ΔE_f (raw) ... -1365 meV/atom


# 3
! CsV2Br6, relaxed, DFT PBE; values from VASP
&SYSTEM
  ibrav = 0, nat = 9, ntyp = 3
/
ATOMIC_SPECIES
Cs 132.91 Cs.upf
V 50.94 V.upf
Br 79.90 Br.upf
ATOMIC_POSITIONS crystal
Cs 0.0000 0.0000 0.0000
V 0.3333 0.6667 0.5000
V 0.6667 0.3333 0.5000
Br 0.0000 0.3742 0.6796
Br 0.0000 0.6258 0.3204
Br 0.3742 0.0000 0.6796
Br 0.3742 0.3742 0.3204
Br 0.6258 0.0000 0.3204
Br 0.6258 0.6258 0.6796
CELL_PARAMETERS angstrom
6.7848 0.0000 0.0000
-3.3924 5.8758 0.0000
0.0000 0.0000 8.2097
! E ... -4.325 eV/atom
! ΔE_f (raw) ... -1088 meV/atom


# 4
! Cs2VBr7, relaxed, DFT PBE; values from VASP
&SYSTEM
  ibrav = 0, nat = 10, ntyp = 3
/
ATOMIC_SPECIES
Cs 132.91 Cs.upf
V 50.94 V.upf
Br 79.90 Br.upf
ATOMIC_POSITIONS crystal
Cs 0.2500 0.7500 0.5000
Cs 0.7500 0.2500 0.5000
V 0.0000 0.0000 0.0000
Br 0.2057 0.2057 0.4113
Br 0.2057 0.7943 0.0000
Br 0.2368 0.2368 0.0000
Br 0.5000 0.5000 0.0000
Br 0.7632 0.7632 0.0000
Br 0.7943 0.2057 0.0000
Br 0.7943 0.7943 0.5887
CELL_PARAMETERS angstrom
-4.2612 4.2612 5.3975
4.2612 -4.2612 5.3975
4.2612 4.2612 -5.3975
! E ... -3.273 eV/atom
! ΔE_f (raw) ... -1019 meV/atom